# Na2CrCuO4

A relaxed Na2CrCuO4 crystal (GGA+U, Alexandria).

* E: -0.4001 Ry/atom

Lattice parameters (Å, degrees): 5.260 5.012 5.012 74.01 58.34 58.34
Fractional coordinates of all 8 atoms:
Na 0.000 0.500 0.500
Na 0.500 0.500 0.500
Cr 0.000 0.000 0.000
Cu 0.500 0.000 0.000
O 0.037 0.330 0.000
O 0.963 0.000 0.670
O 0.633 0.000 0.330
O 0.367 0.670 0.000